KNaIBr: optimized geometry, GGA-PBE.

abc: 5.738 5.738 5.738
angles: 60.00 60.00 60.00
Sites, in units of the cell vectors:
I 0.250 0.250 0.250
Na 0.500 0.500 0.500
K 0.000 0.000 0.000
Br 0.750 0.750 0.750

Values from the calculation:
Raw formation energy   -1.372 eV per atom
Space-group type   No. 216